Ca2ZrSi, optimized geometry, DFT PBE-GGA; symmetry = Immm, No. 71; mass density = 3.31 Mg/m³; formation energy (no corrections) = 0.980 kcal/mol of atoms; uncorrected energy = -17.80 eV for the cell shown; total magnetization = 0.0 μB per cell
1.0
6.457 0.069 0.025
3.636 5.336 -0.025
-4.774 -3.212 2.931
Ca Si Zr
2 1 1
Direct
0.959 0.959 0.000
0.541 0.541 0.000
0.750 0.250 0.500
0.250 0.750 0.500